! Ta2SeS3 | Alexandria | GGA-PBE | relaxed; values from VASP
&SYSTEM
  ibrav = 0, nat = 12, ntyp = 3
/
ATOMIC_SPECIES
Ta 180.95 Ta.upf
Se 78.96 Se.upf
S 32.06 S.upf
ATOMIC_POSITIONS crystal
Ta 0.000 0.000 0.000
Ta 0.000 0.000 0.496
Ta 0.667 0.333 0.248
Ta 0.667 0.333 0.747
Se 0.000 0.000 0.685
Se 0.000 0.000 0.809
S 0.000 0.000 0.192
S 0.000 0.000 0.305
S 0.667 0.333 0.056
S 0.667 0.333 0.439
S 0.667 0.333 0.552
S 0.667 0.333 0.943
CELL_PARAMETERS angstrom
3.372 0.000 0.000
-1.686 2.921 0.000
0.000 0.000 27.528
! - crystal system = trigonal
! - calculated volume (A^3/atom) = 22.6
! - SG = No. 156
! - VASP energy (eV for the cell shown) = -90.988
! - total moment (Bohr magnetons per cell) = 0.2


! Y5Zn3 | Alexandria | GGA-PBE | relaxed; values from VASP
&SYSTEM
  ibrav = 0, nat = 8, ntyp = 2
/
ATOMIC_SPECIES
Y 88.91 Y.upf
Zn 65.41 Zn.upf
ATOMIC_POSITIONS crystal
Y 0.000 0.000 0.000
Y 0.000 0.000 0.222
Y 0.000 0.000 0.778
Y 0.500 0.500 0.390
Y 0.500 0.500 0.610
Zn 0.000 0.000 0.500
Zn 0.500 0.500 0.112
Zn 0.500 0.500 0.888
CELL_PARAMETERS angstrom
3.587 0.000 0.000
0.000 3.587 0.000
0.000 0.000 15.892
! - crystal system = tetragonal
! - calculated volume (A^3/atom) = 25.6
! - distance to the lowest polymorph of the same formula (kJ per mole of atoms) = 0.0
! - ΔH_f (0 K) (eV/atom) = -0.26
! - SG = No. 123
! - VASP energy (eV for the cell shown) = -38.261
! - total moment (Bohr magnetons per cell) = 0.0


! CoAsBr2 | Alexandria | GGA-PBE | relaxed; values from VASP
&SYSTEM
  ibrav = 0, nat = 4, ntyp = 3
/
ATOMIC_SPECIES
Co 58.93 Co.upf
As 74.92 As.upf
Br 79.90 Br.upf
ATOMIC_POSITIONS crystal
Co 0.000 0.000 0.000
As 0.500 0.500 0.500
Br 0.275 0.275 0.275
Br 0.725 0.725 0.725
CELL_PARAMETERS angstrom
1.731 0.999 8.885
-1.731 0.999 8.885
0.000 -1.999 8.885
! - crystal system = trigonal
! - calculated volume (A^3/atom) = 23.1
! - distance to the lowest polymorph of the same formula (kJ per mole of atoms) = 37.5
! - SG = No. 166
! - VASP energy (eV for the cell shown) = -13.867
! - total moment (Bohr magnetons per cell) = 1.7


! RbLa3Hg | Alexandria | GGA-PBE | relaxed; values from VASP
&SYSTEM
  ibrav = 0, nat = 5, ntyp = 3
/
ATOMIC_SPECIES
Rb 85.47 Rb.upf
La 138.91 La.upf
Hg 200.59 Hg.upf
ATOMIC_POSITIONS crystal
Rb 0.000 0.000 0.000
La 0.000 0.000 0.500
La 0.000 0.500 0.000
La 0.500 0.000 0.000
Hg 0.500 0.500 0.500
CELL_PARAMETERS angstrom
5.721 0.000 0.000
0.000 5.721 0.000
0.000 0.000 5.721
! - crystal system = cubic
! - calculated volume (A^3/atom) = 37.4
! - distance to the lowest polymorph of the same formula (kJ per mole of atoms) = 71.4
! - ΔH_f (0 K) (eV/atom) = 1.00
! - SG = No. 221
! - VASP energy (eV for the cell shown) = -11.039
! - total moment (Bohr magnetons per cell) = 0.0


> Which value of VASP energy does entry 2 give?

-38.261 eV for the cell shown


> Which value of total moment does entry 2 give?

0.0 Bohr magnetons per cell


> Look up the VASP energy of the third one.

-13.867 eV for the cell shown